# Sm2ErTc

A geometry-optimized Sm2ErTc structure (PBE, the Alexandria database).

Cell lengths 3.5134, 3.5134, 8.7947 Å; angles 90.00, 90.00, 90.00 degrees
Fractional coordinates of all 4 atoms:
1 Sm 0.0000 0.0000 0.1923
2 Sm 0.0000 0.0000 0.8077
3 Er 0.5000 0.5000 0.5000
4 Tc 0.5000 0.5000 0.0000

Calculated values
**E above lowest polymorph**: 165 meV per atom
**Formation energy from the elements**: 45.5 kJ/mol of formula units
**V**: 108.56 Å³/f.u.
**Fermi-level density of states**: 5.81 states/eV/cell
**VASP energy**: -5.9738 eV per atom